Compound: K2LiNpI6
Source: the Alexandria database
Functional: PBE-GGA
Structure: optimized geometry

Unit cell a=8.131 b=8.658 c=14.251 alpha=90.00 beta=124.45 gamma=90.00
Space group P2_1/c (No. 14)
Asymmetric unit:
K: 0.218 0.084 0.248
Li: 0.000 0.000 0.500
Np: 0.500 0.000 0.000
I: 0.136 0.199 0.945
I: 0.260 0.694 0.951
I: 0.349 0.025 0.745

## Properties
Uncorrected energy   -3.81 eV per atom
Uncorrected formation energy   -1.173 eV/atom